No. 1
The following is a GGA-PBE calculation of YH2Cl6 after structural relaxation, from Alexandria via LeMat-Bulk.

The structure in CIF format:
```
data_YH2Cl6
_cell_length_a 8.480
_cell_length_b 8.480
_cell_length_c 7.175
_cell_angle_alpha 96.17
_cell_angle_beta 96.17
_cell_angle_gamma 84.46
_space_group_name_H-M_alt 'P 1'
_space_group_IT_number 1
loop_
_space_group_symop_operation_xyz
'x,y,z'
loop_
_atom_site_label
_atom_site_fract_x
_atom_site_fract_y
_atom_site_fract_z
Y1 0.092 0.908 0.750
Y2 0.908 0.092 0.250
H1 0.329 0.428 0.634
H2 0.428 0.329 0.134
H3 0.572 0.671 0.866
H4 0.671 0.572 0.366
Cl1 0.043 0.186 0.961
Cl2 0.138 0.611 0.616
Cl3 0.186 0.043 0.461
Cl4 0.314 0.446 0.145
Cl5 0.389 0.862 0.884
Cl6 0.446 0.314 0.645
Cl7 0.554 0.686 0.355
Cl8 0.611 0.138 0.116
Cl9 0.686 0.554 0.855
Cl10 0.814 0.957 0.539
Cl11 0.862 0.389 0.384
Cl12 0.957 0.814 0.039
```

Calculated values
crystal system = monoclinic
uncorrected energy = -0.2796 Ry per atom

=====

No. 2
The following is a GGA-PBE calculation of HfAlPd after structural relaxation, from Alexandria via LeMat-Bulk.

The structure in CIF format:
```
data_HfAlPd
_cell_length_a 4.387
_cell_length_b 4.387
_cell_length_c 4.387
_cell_angle_alpha 60.00
_cell_angle_beta 60.00
_cell_angle_gamma 60.00
_space_group_name_H-M_alt 'P 1'
_space_group_IT_number 1
loop_
_space_group_symop_operation_xyz
'x,y,z'
loop_
_atom_site_label
_atom_site_fract_x
_atom_site_fract_y
_atom_site_fract_z
Hf1 0.000 0.000 0.000
Al1 0.500 0.500 0.500
Pd1 0.750 0.750 0.750
```

Calculated values
crystal system = cubic
uncorrected energy = -0.5005 Ry per atom
ΔE_f = -1.541 eV per formula unit